The following is a DFT calculation (PBE) of a relaxed structure of Pm2ZnPbO5.

```
data_Pm2ZnPbO5
_cell_length_a 6.741
_cell_length_b 6.741
_cell_length_c 11.484
_cell_angle_alpha 90.00
_cell_angle_beta 90.00
_cell_angle_gamma 90.00
_space_group_name_H-M_alt 'I 4/m c m'
_space_group_IT_number 140
_space_group_name_Hall '-I 4 2c'
loop_
_atom_site_label
_atom_site_type_symbol
_atom_site_fract_x
_atom_site_fract_y
_atom_site_fract_z
_atom_site_occupancy
Pm1 Pm 0.173 0.327 0.000 1
Zn1 Zn 0.000 0.500 0.250 1
Pb1 Pb 0.000 0.000 0.250 1
O1 O 0.000 0.000 0.000 1
O2 O 0.146 0.354 0.370 1
```

Final energy ... -241.2 eV for the cell shown
Magnetic moment ... 0.0 μB/cell
Formation energy without anion corrections ... -2337 meV per atom

***

The following is a DFT calculation (PBE) of a relaxed structure of Pr3PbO7.

```
data_Pr3PbO7
_cell_length_a 7.839
_cell_length_b 11.282
_cell_length_c 7.963
_cell_angle_alpha 90.00
_cell_angle_beta 90.00
_cell_angle_gamma 90.00
_space_group_name_H-M_alt 'C m c m'
_space_group_IT_number 63
_space_group_name_Hall '-C 2c 2'
loop_
_atom_site_label
_atom_site_type_symbol
_atom_site_fract_x
_atom_site_fract_y
_atom_site_fract_z
_atom_site_occupancy
Pr1 Pr 0.000 0.000 0.000 1
Pr2 Pr 0.237 0.269 0.250 1
Pb1 Pb 0.000 0.500 0.000 1
O1 O 0.000 0.130 0.750 1
O2 O 0.000 0.132 0.250 1
O3 O 0.000 0.413 0.250 1
O4 O 0.215 0.376 0.530 1
```

Final energy ... -320.3 eV for the cell shown
Magnetic moment ... 4.1 μB/cell
Formation energy without anion corrections ... -2483 meV per atom

***

The following is a DFT calculation (PBE) of a relaxed structure of Pr3PbO2.

```
data_Pr3PbO2
_cell_length_a 4.798
_cell_length_b 4.798
_cell_length_c 12.131
_cell_angle_alpha 90.00
_cell_angle_beta 90.00
_cell_angle_gamma 90.00
_space_group_name_H-M_alt 'I 4/m m m'
_space_group_IT_number 139
_space_group_name_Hall '-I 4 2'
loop_
_atom_site_label
_atom_site_type_symbol
_atom_site_fract_x
_atom_site_fract_y
_atom_site_fract_z
_atom_site_occupancy
Pr1 Pr 0.000 0.000 0.000 1
Pr2 Pr 0.000 0.500 0.250 1
Pb1 Pb 0.000 0.000 0.500 1
O1 O 0.000 0.000 0.200 1
```

Final energy ... -80.6 eV for the cell shown
Magnetic moment ... 0.0 μB/cell
Formation energy without anion corrections ... -2055 meV per atom

***

The following is a DFT calculation (PBE) of a relaxed structure of Pr2PbO5.

```
data_Pr2PbO5
_cell_length_a 11.260
_cell_length_b 3.993
_cell_length_c 12.088
_cell_angle_alpha 90.00
_cell_angle_beta 90.00
_cell_angle_gamma 90.00
_space_group_name_H-M_alt 'P n m a'
_space_group_IT_number 62
_space_group_name_Hall '-P 2ac 2n'
loop_
_atom_site_label
_atom_site_type_symbol
_atom_site_fract_x
_atom_site_fract_y
_atom_site_fract_z
_atom_site_occupancy
Pr1 Pr 0.119 0.250 0.232 1
Pr2 Pr 0.129 0.250 0.565 1
Pb1 Pb 0.166 0.250 0.892 1
O1 O 0.007 0.750 0.601 1
O2 O 0.008 0.750 0.166 1
O3 O 0.228 0.250 0.056 1
O4 O 0.247 0.750 0.233 1
O5 O 0.248 0.750 0.894 1
```

Final energy ... -229.8 eV for the cell shown
Magnetic moment ... 0.0 μB/cell
Formation energy without anion corrections ... -2425 meV per atom

***

The following is a DFT calculation (PBE) of a relaxed structure of Pr7Pb4O.

```
data_Pr7Pb4O
_cell_length_a 17.170
_cell_length_b 5.272
_cell_length_c 11.417
_cell_angle_alpha 90.00
_cell_angle_beta 128.24
_cell_angle_gamma 90.00
_space_group_name_H-M_alt 'C 1 2/m 1'
_space_group_IT_number 12
_space_group_name_Hall '-C 2y'
loop_
_atom_site_label
_atom_site_type_symbol
_atom_site_fract_x
_atom_site_fract_y
_atom_site_fract_z
_atom_site_occupancy
Pr1 Pr 0.000 0.000 0.000 1
Pr2 Pr 0.067 0.500 0.248 1
Pr3 Pr 0.137 0.000 0.546 1
Pr4 Pr 0.211 0.500 0.858 1
Pb1 Pb 0.078 0.000 0.787 1
Pb2 Pb 0.221 0.000 0.344 1
O1 O 0.000 0.500 0.000 1
```

Final energy ... -124.2 eV for the cell shown
Magnetic moment ... 0.7 μB/cell
Formation energy without anion corrections ... -739 meV per atom

***

The following is a DFT calculation (PBE) of a relaxed structure of Pr4Pb2O.

```
data_Pr4Pb2O
_cell_length_a 4.830
_cell_length_b 4.830
_cell_length_c 17.682
_cell_angle_alpha 90.00
_cell_angle_beta 90.00
_cell_angle_gamma 90.00
_space_group_name_H-M_alt 'I 4/m m m'
_space_group_IT_number 139
_space_group_name_Hall '-I 4 2'
loop_
_atom_site_label
_atom_site_type_symbol
_atom_site_fract_x
_atom_site_fract_y
_atom_site_fract_z
_atom_site_occupancy
Pr1 Pr 0.000 0.000 0.174 1
Pr2 Pr 0.000 0.500 0.000 1
Pb1 Pb 0.000 0.000 0.360 1
O1 O 0.000 0.000 0.000 1
```

Final energy ... -79.0 eV for the cell shown
Magnetic moment ... 2.3 μB/cell
Formation energy without anion corrections ... -1143 meV per atom

***

The following is a DFT calculation (PBE) of a relaxed structure of PrPbO.

```
data_PrPbO
_cell_length_a 4.179
_cell_length_b 4.179
_cell_length_c 8.256
_cell_angle_alpha 90.00
_cell_angle_beta 90.00
_cell_angle_gamma 90.00
_space_group_name_H-M_alt 'P 4/n m m'
_space_group_IT_number 129
loop_
_space_group_symop_operation_xyz
'x,y,z'
'-x,-y,-z'
'-y+1/2,x,z'
'y+1/2,-x,-z'
'-x+1/2,-y+1/2,z'
'x+1/2,y+1/2,-z'
'y,-x+1/2,z'
'-y,x+1/2,-z'
'x+1/2,-y,-z'
'-x+1/2,y,z'
'-y,-x,-z'
'y,x,z'
'-x,y+1/2,-z'
'x,-y+1/2,z'
'y+1/2,x+1/2,-z'
'-y+1/2,-x+1/2,z'
loop_
_atom_site_label
_atom_site_type_symbol
_atom_site_fract_x
_atom_site_fract_y
_atom_site_fract_z
_atom_site_occupancy
Pr1 Pr 0.250 0.250 0.138 1
Pb1 Pb 0.250 0.250 0.581 1
O1 O 0.250 0.750 0.000 1
```

Final energy ... -39.1 eV for the cell shown
Magnetic moment ... 0.0 μB/cell
Formation energy without anion corrections ... -2027 meV per atom

***

The following is a DFT calculation (PBE) of a relaxed structure of Pr4Pb6O19.

```
data_Pr4Pb6O19
_cell_length_a 9.786
_cell_length_b 9.786
_cell_length_c 9.786
_cell_angle_alpha 90.00
_cell_angle_beta 90.00
_cell_angle_gamma 90.00
_space_group_name_H-M_alt 'I 2 3'
_space_group_IT_number 197
_space_group_name_Hall 'I 2 2 3'
loop_
_atom_site_label
_atom_site_type_symbol
_atom_site_fract_x
_atom_site_fract_y
_atom_site_fract_z
_atom_site_occupancy
Pr1 Pr 0.145 0.145 0.855 1
Pb1 Pb 0.000 0.331 0.500 1
O1 O 0.000 0.000 0.000 1
O2 O 0.000 0.000 0.343 1
O3 O 0.047 0.316 0.717 1
```

Final energy ... -360.5 eV for the cell shown
Magnetic moment ... 4.5 μB/cell
Formation energy without anion corrections ... -1541 meV per atom